A plane-wave DFT calculation with PBE-GGA was carried out for an optimized crystal structure of Y2ZnReC.

Cell lengths 4.9555, 4.9555, 3.9719 Å; angles 90.00, 90.00, 90.00 degrees
Atoms (fractional coordinates):
Y 0.0000 0.5000 0.0000
Y 0.5000 0.0000 0.0000
Re 0.0000 0.0000 0.5000
Zn 0.5000 0.5000 0.5000
C 0.0000 0.0000 0.0000

DFT formation energy ... -1.324 eV per formula unit
Total magnetic moment ... 0.00 Bohr magnetons per cell
Electronic total energy ... -7.440 eV/atom


A plane-wave DFT calculation with PBE-GGA was carried out for an optimized crystal structure of PaAlGaCo3.

Cell lengths 5.8554, 5.3045, 6.4873 Å; angles 114.13, 90.00, 90.00 degrees
Last column: magnetic moment on the atom in μB.
Atoms (fractional coordinates):
Pa 0.7500 0.3411 0.6821  -0.02
Pa 0.2500 0.6589 0.3179  -0.02
Al 0.2500 0.3629 0.7259  0.00
Al 0.7500 0.6371 0.2741  0.00
Ga 0.2500 0.9040 0.8079  0.00
Ga 0.7500 0.0960 0.1921  0.00
Co 0.2500 0.1567 0.3134  0.10
Co 0.0000 0.2647 0.0000  -0.01
Co 0.5000 0.7353 0.0000  -0.01
Co 0.5000 0.2647 0.0000  -0.01
Co 0.0000 0.7353 0.0000  -0.01
Co 0.7500 0.8433 0.6866  0.10

DFT formation energy ... -0.972 eV per formula unit
Total magnetic moment ... 0.11 Bohr magnetons per cell
Electronic total energy ... -6.426 eV/atom


A plane-wave DFT calculation with PBE-GGA was carried out for an optimized crystal structure of RbTa3V.

Cell lengths 4.7732, 4.7732, 4.7732 Å; angles 90.00, 90.00, 90.00 degrees
Last column: magnetic moment on the atom in μB.
Atoms (fractional coordinates):
Ta 0.0000 0.5000 0.0000  -0.08
Ta 0.0000 0.0000 0.5000  -0.08
Ta 0.5000 0.0000 0.0000  -0.08
Rb 0.0000 0.0000 0.0000  0.01
V 0.5000 0.5000 0.5000  2.37

DFT formation energy ... 16.154 eV per formula unit
Total magnetic moment ... 2.53 Bohr magnetons per cell
Energy above the lowest structure with this stoichiometry ... 1598 meV/atom
Electronic total energy ... -5.898 eV/atom


A plane-wave DFT calculation with PBE-GGA was carried out for an optimized crystal structure of La3Nd7.

Cell lengths 5.2312, 7.3913, 11.0900 Å; angles 119.84, 103.64, 90.00 degrees
Atoms (fractional coordinates):
La 0.0000 0.0000 0.0000
La 0.1992 0.7994 0.3985
La 0.8008 0.2006 0.6015
Nd 0.0000 0.5000 0.0000
Nd 0.2000 0.2996 0.3999
Nd 0.8000 0.7004 0.6001
Nd 0.4003 0.1006 0.8007
Nd 0.5997 0.8994 0.1993
Nd 0.3997 0.6006 0.7994
Nd 0.6003 0.3994 0.2006

DFT formation energy ... 0.118 eV per formula unit
Total magnetic moment ... 0.00 Bohr magnetons per cell
Energy above the lowest structure with this stoichiometry ... 0 meV/atom
Electronic total energy ... -4.804 eV/atom


A plane-wave DFT calculation with PBE-GGA was carried out for an optimized crystal structure of Gd2NiGe.

Cell lengths 3.7247, 3.7247, 9.4729 Å; angles 78.66, 78.66, 60.00 degrees
Last column: magnetic moment on the atom in μB.
Atoms (fractional coordinates):
Ni 0.5000 0.5000 0.5000  -0.05
Ge 0.0000 0.0000 0.0000  -0.03
Gd 0.1068 0.1068 0.6797  7.09
Gd 0.8932 0.8932 0.3203  7.09

DFT formation energy ... 0.203 eV per formula unit
Total magnetic moment ... 14.47 Bohr magnetons per cell
Electronic total energy ... -9.589 eV/atom


A plane-wave DFT calculation with PBE-GGA was carried out for an optimized crystal structure of La4Nd3Sm.

Cell lengths 3.4953, 9.1460, 9.1460 Å; angles 98.07, 90.00, 90.00 degrees
Atoms (fractional coordinates):
La 0.0000 0.7506 0.7506
La 0.5000 0.2481 0.7519
La 0.0000 0.2494 0.2494
La 0.5000 0.7519 0.2481
Nd 0.0000 0.0000 0.5000
Nd 0.5000 0.5000 0.5000
Nd 0.0000 0.5000 0.0000
Sm 0.5000 0.0000 0.0000

DFT formation energy ... 2.634 eV per formula unit
Total magnetic moment ... 0.00 Bohr magnetons per cell
Energy above the lowest structure with this stoichiometry ... 137 meV/atom
Electronic total energy ... -4.512 eV/atom


A plane-wave DFT calculation with PBE-GGA was carried out for an optimized crystal structure of Al2Cr2P.

Cell lengths 5.8331, 5.8331, 4.0385 Å; angles 90.00, 90.00, 90.00 degrees
Last column: magnetic moment on the atom in μB.
Atoms (fractional coordinates):
Cr 0.3563 0.8563 0.0000  0.61
Cr 0.8563 0.6437 0.0000  0.60
Cr 0.6437 0.1437 0.0000  0.61
Cr 0.1437 0.3563 0.0000  0.60
Al 0.1597 0.6597 0.5000  -0.01
Al 0.6597 0.8403 0.5000  -0.01
Al 0.8403 0.3403 0.5000  -0.01
Al 0.3403 0.1597 0.5000  -0.01
P 0.0000 0.0000 0.0000  -0.03
P 0.5000 0.5000 0.0000  -0.03

DFT formation energy ... -0.909 eV per formula unit
Total magnetic moment ... 2.31 Bohr magnetons per cell
Electronic total energy ... -6.610 eV/atom


A plane-wave DFT calculation with PBE-GGA was carried out for an optimized crystal structure of ZnTc.

Cell lengths 2.7259, 4.3884, 4.8279 Å; angles 90.00, 90.00, 90.00 degrees
Atoms (fractional coordinates):
Tc 0.0000 0.0000 0.9998
Tc 0.5000 0.5000 0.8335
Zn 0.0000 0.5000 0.3390
Zn 0.5000 0.0000 0.4944

DFT formation energy ... 0.270 eV per formula unit
Total magnetic moment ... 0.00 Bohr magnetons per cell
Energy above the lowest structure with this stoichiometry ... 175 meV/atom
Electronic total energy ... -5.685 eV/atom


A plane-wave DFT calculation with PBE-GGA was carried out for an optimized crystal structure of Zr2InMo.

Cell lengths 9.5127, 9.5127, 9.5127 Å; angles 19.69, 19.69, 19.69 degrees
Atoms (fractional coordinates):
In 0.4937 0.4937 0.4937
Mo 0.7470 0.7470 0.7470
Zr 0.0082 0.0082 0.0082
Zr 0.2511 0.2511 0.2511

DFT formation energy ... 0.885 eV per formula unit
Total magnetic moment ... 0.00 Bohr magnetons per cell
Electronic total energy ... -7.445 eV/atom


A plane-wave DFT calculation with PBE-GGA was carried out for an optimized crystal structure of InSbPt2.

Cell lengths 7.0790, 7.0790, 7.0790 Å; angles 32.64, 32.64, 32.64 degrees
Atoms (fractional coordinates):
In 0.7308 0.7308 0.7308
Pt 0.9919 0.9919 0.9919
Pt 0.2545 0.2545 0.2545
Sb 0.5227 0.5227 0.5227

Total magnetic moment ... 0.00 Bohr magnetons per cell
Electronic total energy ... -4.917 eV/atom


A plane-wave DFT calculation with PBE-GGA was carried out for an optimized crystal structure of SrSbTe.

Cell lengths 5.3247, 5.3247, 4.1239 Å; angles 90.00, 90.00, 120.00 degrees
Atoms (fractional coordinates):
Sb 0.0000 0.0000 0.8333
Sr 0.6667 0.3333 0.3335
Te 0.3333 0.6667 0.8332

Total magnetic moment ... 0.00 Bohr magnetons per cell
Electronic total energy ... -3.585 eV/atom


A plane-wave DFT calculation with PBE-GGA was carried out for an optimized crystal structure of Mn2MoRh.

Cell lengths 5.0097, 5.0097, 4.1080 Å; angles 65.84, 65.84, 36.92 degrees
Last column: magnetic moment on the atom in μB.
Atoms (fractional coordinates):
Mn 0.0012 0.0012 0.9987  2.67
Mn 0.7512 0.7512 0.7488  3.08
Mo 0.4973 0.4973 0.5028  -0.81
Rh 0.2503 0.2503 0.2497  0.47

DFT formation energy ... 0.058 eV per formula unit
Total magnetic moment ... 5.51 Bohr magnetons per cell
Electronic total energy ... -9.116 eV/atom


Record order is preserved below.
D(E_F): 2.32, 5.13, 5.31, 16.66, 3.64, 19.37, 3.87, 1.49, 6.12, 2.39, 1.49, 2.63 states/eV/f.u.